Entry 1:
Material: Pr2HoMg5Cd2
Method: DFT, PBE
State: relaxed

```
Pr2HoMg5Cd2
1.0
10.619 0.000 0.000
0.000 10.619 0.000
0.000 0.000 4.699
Pr Ho Mg Cd
4 2 10 4
Cartesian
1.914 3.395 0.000 Pr
3.395 8.705 0.000 Pr
7.223 1.914 0.000 Pr
8.705 7.223 0.000 Pr
0.000 0.000 0.000 Ho
5.309 5.309 0.000 Ho
0.000 5.309 2.350 Mg
0.624 8.386 2.350 Mg
2.233 0.624 2.350 Mg
3.077 5.934 2.350 Mg
4.685 3.077 2.350 Mg
5.309 0.000 2.350 Mg
5.934 7.542 2.350 Mg
7.542 4.685 2.350 Mg
8.386 9.995 2.350 Mg
9.995 2.233 2.350 Mg
1.220 6.530 0.000 Cd
4.089 1.220 0.000 Cd
6.530 9.399 0.000 Cd
9.399 4.089 0.000 Cd
```

Space group: P4/mbm
Density of states at the Fermi level: 12.0 states/eV per cell
DFT formation energy: -3.78 kcal/mol of atoms

***

Entry 2:
Material: Th4P3C
Method: DFT, PBE
State: relaxed

```
Th4P3C
1.0
5.756 0.000 0.000
0.000 5.756 0.000
0.000 0.000 5.756
Th P C
4 3 1
Cartesian
0.000 0.000 0.000 Th
0.000 2.878 2.878 Th
2.878 0.000 2.878 Th
2.878 2.878 0.000 Th
0.000 0.000 2.878 P
0.000 2.878 0.000 P
2.878 0.000 0.000 P
2.878 2.878 2.878 C
```

Space group: Pm-3m
Distance to the lowest polymorph of the same formula: 73.3 meV/atom
Density of states at the Fermi level: 3.3 states/eV per cell
DFT formation energy: -26.02 kcal/mol of atoms